1.
# SrMg2CdPt (PBE, optimized geometry)
# Magnetic moment in μB/cell: 0.00
# Raw total energy in eV per atom: -2.8632
# Calculated density in g/cm3: 6.0
data_SrMg2CdPt
_space_group_name_H-M_alt 'I 4 m m'
_space_group_IT_number 107
_space_group_name_Hall 'I 4 -2'
_cell_length_a 4.4079
_cell_length_b 4.4079
_cell_length_c 12.6949
_cell_angle_alpha 90.00
_cell_angle_beta 90.00
_cell_angle_gamma 90.00
loop_
_atom_site_label
_atom_site_type_symbol
_atom_site_fract_x
_atom_site_fract_y
_atom_site_fract_z
Sr1 Sr 0.0000 0.0000 0.0000
Mg1 Mg 0.0000 0.5000 0.2774
Cd1 Cd 0.0000 0.0000 0.6178
Pt1 Pt 0.0000 0.0000 0.3992



2.
# Tm3Mg3Cd2Pt (PBE, optimized geometry)
# Magnetic moment in μB/cell: 0.07
# Raw total energy in eV per atom: -3.3320
# Calculated density in g/cm3: 7.9
data_Tm3Mg3Cd2Pt
_space_group_name_H-M_alt 'P -6 2 m'
_space_group_IT_number 189
_space_group_name_Hall 'P -6 -2'
_cell_length_a 7.5106
_cell_length_b 7.5106
_cell_length_c 4.3186
_cell_angle_alpha 90.00
_cell_angle_beta 90.00
_cell_angle_gamma 120.00
loop_
_atom_site_label
_atom_site_type_symbol
_atom_site_fract_x
_atom_site_fract_y
_atom_site_fract_z
Tm1 Tm 0.0000 0.6082 0.0000
Mg1 Mg 0.0000 0.2348 0.5000
Cd1 Cd 0.3333 0.6667 0.5000
Pt1 Pt 0.0000 0.0000 0.0000



3.
# PuMgCd (PBE, optimized geometry)
# Magnetic moment in μB/cell: 26.65
# Raw total energy in eV per atom: -5.1471
# Calculated density in g/cm3: 7.3
data_PuMgCd
_space_group_name_H-M_alt 'F -4 3 m'
_space_group_IT_number 216
_space_group_name_Hall 'F -4 2 3'
_cell_length_a 7.0133
_cell_length_b 7.0133
_cell_length_c 7.0133
_cell_angle_alpha 90.00
_cell_angle_beta 90.00
_cell_angle_gamma 90.00
loop_
_atom_site_label
_atom_site_type_symbol
_atom_site_fract_x
_atom_site_fract_y
_atom_site_fract_z
Pu1 Pu 0.0000 0.0000 0.0000
Mg1 Mg 0.2500 0.2500 0.7500
Cd1 Cd 0.0000 0.0000 0.5000



4.
# Rb2Mg2Cd3 (PBE, optimized geometry)
# Raw total energy in eV per atom: -0.9718
# Calculated density in g/cm3: 3.7
data_Rb2Mg2Cd3
_space_group_name_H-M_alt 'R 3 m'
_space_group_IT_number 160
_space_group_name_Hall 'R 3 -2"'
_cell_length_a 5.5002
_cell_length_b 5.5002
_cell_length_c 28.9736
_cell_angle_alpha 90.00
_cell_angle_beta 90.00
_cell_angle_gamma 120.00
loop_
_atom_site_label
_atom_site_type_symbol
_atom_site_fract_x
_atom_site_fract_y
_atom_site_fract_z
Rb1 Rb 0.0000 0.0000 0.0000
Rb2 Rb 0.0000 0.0000 0.4838
Mg1 Mg 0.0000 0.0000 0.2529
Mg2 Mg 0.0000 0.0000 0.7232
Cd1 Cd 0.0000 0.0000 0.3647
Cd2 Cd 0.0000 0.0000 0.6045
Cd3 Cd 0.0000 0.0000 0.8867



5.
# RbMg3CdSb3 (PBE, optimized geometry)
# Raw total energy in eV per atom: -2.7736
# Calculated density in g/cm3: 4.2
data_RbMg3CdSb3
_space_group_name_H-M_alt 'P m m 2'
_space_group_IT_number 25
_cell_length_a 4.7150
_cell_length_b 4.7397
_cell_length_c 11.3415
_cell_angle_alpha 90.00
_cell_angle_beta 90.00
_cell_angle_gamma 90.00
loop_
_space_group_symop_operation_xyz
'x,y,z'
'-x,-y,z'
'-x,y,z'
'x,-y,z'
loop_
_atom_site_label
_atom_site_type_symbol
_atom_site_fract_x
_atom_site_fract_y
_atom_site_fract_z
Rb1 Rb 0.0000 0.0000 0.0000
Mg1 Mg 0.0000 0.5000 0.6664
Mg2 Mg 0.5000 0.0000 0.3391
Mg3 Mg 0.5000 0.0000 0.6661
Cd1 Cd 0.0000 0.5000 0.3378
Sb1 Sb 0.0000 0.0000 0.5064
Sb2 Sb 0.5000 0.5000 0.1937
Sb3 Sb 0.5000 0.5000 0.8058



6.
# MgCdS2 (PBE, optimized geometry)
# Raw total energy in eV per atom: -3.7077
# Calculated density in g/cm3: 3.4
data_MgCdS2
_space_group_name_H-M_alt 'P 3 m 1'
_space_group_IT_number 156
_cell_length_a 4.1101
_cell_length_b 4.1101
_cell_length_c 6.6645
_cell_angle_alpha 90.00
_cell_angle_beta 90.00
_cell_angle_gamma 120.00
loop_
_space_group_symop_operation_xyz
'x,y,z'
'-y,x-y,z'
'-x+y,-x,z'
'-y,-x,z'
'-x+y,y,z'
'x,x-y,z'
loop_
_atom_site_label
_atom_site_type_symbol
_atom_site_fract_x
_atom_site_fract_y
_atom_site_fract_z
Mg1 Mg 0.0000 0.0000 0.0000
Cd1 Cd 0.6667 0.3333 0.5065
S1 S 0.0000 0.0000 0.3690
S2 S 0.6667 0.3333 0.8912



7.
# MgCd2S3 (PBE, optimized geometry)
# Raw total energy in eV per atom: -3.2066
# Calculated density in g/cm3: 4.3
data_MgCd2S3
_space_group_name_H-M_alt 'C m c m'
_space_group_IT_number 63
_space_group_name_Hall '-C 2c 2'
_cell_length_a 3.6833
_cell_length_b 12.8587
_cell_length_c 11.1407
_cell_angle_alpha 90.00
_cell_angle_beta 90.00
_cell_angle_gamma 90.00
loop_
_atom_site_label
_atom_site_type_symbol
_atom_site_fract_x
_atom_site_fract_y
_atom_site_fract_z
Mg1 Mg 0.0000 0.2181 0.2500
Cd1 Cd 0.0000 0.0000 0.0000
Cd2 Cd 0.0000 0.4937 0.2500
S1 S 0.0000 0.1411 0.7500
S2 S 0.0000 0.3696 0.5857



8.
# MgZnCdS3 (PBE, optimized geometry)
# Polymorph energy (0 for the lowest one) in meV per atom: 0
# Calculated density in g/cm3: 4.1
data_MgZnCdS3
_space_group_name_H-M_alt 'C m c m'
_space_group_IT_number 63
_space_group_name_Hall '-C 2c 2'
_cell_length_a 3.6260
_cell_length_b 12.2182
_cell_length_c 10.8986
_cell_angle_alpha 90.00
_cell_angle_beta 90.00
_cell_angle_gamma 90.00
loop_
_atom_site_label
_atom_site_type_symbol
_atom_site_fract_x
_atom_site_fract_y
_atom_site_fract_z
Mg1 Mg 0.0000 0.2287 0.2500
Zn1 Zn 0.0000 0.4874 0.7500
Cd1 Cd 0.0000 0.0000 0.0000
S1 S 0.0000 0.1112 0.7500
S2 S 0.0000 0.3605 0.5897



The lowest calculated density belongs to which entry?
MgCdS2



Which of these has the lowest calculated density?
MgCdS2



Which of these has the highest calculated density?
Tm3Mg3Cd2Pt



Look up the calculated density of the second one.
7.9 g/cm3